First-principles (GGA-PBE) data for a geometry-optimized Ba5Bi2AsI structure, as listed in Alexandria via LeMat-Bulk.

Summary:
total magnetization	0.00	μB per atom
calculated density	4.7	g cm⁻³

a = 6.0561 Å, b = 8.6979 Å, c = 17.7059 Å
α = 90.00°, β = 90.00°, γ = 90.00°
With the nearest neighbours (Å) after each atom.
Space group Immm (No. 71)
Inequivalent atoms, fractional coordinates:
Ba: 0.0000 0.0000 0.0000 (multiplicity 2)  2 As 3.03
Ba: 0.0000 0.2699 0.3530 (multiplicity 8)  1 As 3.28, 1 Bi 3.55
Bi: 0.0000 0.0000 0.2023 (multiplicity 4)  7 Ba 3.55-3.76
As: 0.0000 0.5000 0.5000 (multiplicity 2)  6 Ba 3.03-3.28
I: 0.0000 0.5000 0.0000 (multiplicity 2)  10 Ba 4.35-4.63


First-principles (GGA-PBE) data for a geometry-optimized Ba6Bi2AsI3 structure, as listed in Alexandria via LeMat-Bulk.

Summary:
total magnetization	0.00	μB per atom
calculated density	5.0	g cm⁻³

a = 8.7597 Å, b = 15.1713 Å, c = 8.9126 Å
α = 90.00°, β = 109.14°, γ = 90.00°
With the nearest neighbours (Å) after each atom.
Space group C2/m (No. 12)
Inequivalent atoms, fractional coordinates:
Ba: 0.2301 0.1588 0.2138 (multiplicity 8)  1 As 3.31, 2 Bi 3.49
Ba: 0.2462 0.0000 0.7869 (multiplicity 4)  1 As 3.31, 2 Bi 3.49
Bi: 0.0000 0.3333 0.0000 (multiplicity 4)  6 Ba 3.49
As: 0.0000 0.0000 0.0000 (multiplicity 2)  6 Ba 3.31
I: 0.0000 0.1675 0.5000 (multiplicity 4)  6 Ba 3.74-3.88
I: 0.0000 0.5000 0.5000 (multiplicity 2)  6 Ba 3.73-3.90


First-principles (GGA-PBE) data for a geometry-optimized Ba2In2Bi2As structure, as listed in Alexandria via LeMat-Bulk.

Summary:
total magnetization	0.00	μB per atom
calculated density	6.7	g cm⁻³

a = 13.4100 Å, b = 4.4485 Å, c = 8.8091 Å
α = 90.00°, β = 110.19°, γ = 90.00°
With the nearest neighbours (Å) after each atom.
Space group C2/m (No. 12)
Inequivalent atoms, fractional coordinates:
Ba: 0.0057 0.0000 0.2677 (multiplicity 4)  2 As 3.22, 1 Bi 3.58
In: 0.2161 0.5000 0.1063 (multiplicity 4)  1 As 2.72
Bi: 0.2108 0.5000 0.6097 (multiplicity 4)  2 In 3.24, 2 Bi 3.34, 1 Ba 3.58
As: 0.0000 0.5000 0.0000 (multiplicity 2)  2 In 2.72


First-principles (GGA-PBE) data for a geometry-optimized Ba2InBiAs structure, as listed in Alexandria via LeMat-Bulk.

Summary:
total magnetization	0.00	μB per atom
calculated density	5.6	g cm⁻³

a = 8.1591 Å, b = 4.8628 Å, c = 10.6000 Å
α = 90.00°, β = 107.34°, γ = 90.00°
With the nearest neighbours (Å) after each atom.
Space group P2_1/m (No. 11)
Inequivalent atoms, fractional coordinates:
Ba: 0.2081 0.2500 0.3948 (multiplicity 2)  2 As 3.25
Ba: 0.2306 0.2500 0.9815 (multiplicity 2)  3 As 3.16-3.39
In: 0.4950 0.7500 0.2293 (multiplicity 2)  1 As 2.61
Bi: 0.2900 0.7500 0.6880 (multiplicity 2)  2 In 2.97
As: 0.1624 0.7500 0.1835 (multiplicity 2)  1 In 2.61


First-principles (GGA-PBE) data for a geometry-optimized Ba2Li4BiAs3 structure, as listed in Alexandria via LeMat-Bulk.

Summary:
total magnetization	0.00	μB per atom
calculated density	5.2	g cm⁻³

a = 4.5504 Å, b = 4.5504 Å, c = 11.4177 Å
α = 90.00°, β = 90.00°, γ = 90.00°
With the nearest neighbours (Å) after each atom.
Space group P-4m2 (No. 115)
Inequivalent atoms, fractional coordinates:
Ba: 0.0000 0.5000 0.2274 (multiplicity 2)  4 As 3.42, 8 Li 3.45-3.51
Li: 0.0000 0.0000 0.0000 (multiplicity 1)  4 As 2.70
Li: 0.0000 0.5000 0.6501 (multiplicity 2)  3 As 2.54-2.85, 2 Bi 2.85
Li: 0.5000 0.5000 0.0000 (multiplicity 1)  4 As 2.70
Bi: 0.0000 0.0000 0.5000 (multiplicity 1)  4 Li 2.85
As: 0.0000 0.5000 0.8729 (multiplicity 2)  5 Li 2.54-2.70
As: 0.5000 0.5000 0.5000 (multiplicity 1)  4 Li 2.85


First-principles (GGA-PBE) data for a geometry-optimized Ba2Li4Bi3As structure, as listed in Alexandria via LeMat-Bulk.

Summary:
total magnetization	0.00	μB per atom
calculated density	6.1	g cm⁻³

a = 4.8040 Å, b = 4.8040 Å, c = 11.7725 Å
α = 90.00°, β = 90.00°, γ = 90.00°
With the nearest neighbours (Å) after each atom.
Space group P-4m2 (No. 115)
Inequivalent atoms, fractional coordinates:
Ba: 0.0000 0.5000 0.2461 (multiplicity 2)  6 Bi 3.67-3.76, 8 Li 3.68-3.84, 2 As 3.76
Li: 0.0000 0.0000 0.5000 (multiplicity 1)  4 Bi 2.88
Li: 0.0000 0.5000 0.8749 (multiplicity 2)  2 As 2.82, 3 Bi 2.82
Li: 0.5000 0.5000 0.5000 (multiplicity 1)  4 Bi 2.88
Bi: 0.0000 0.0000 0.0000 (multiplicity 1)  4 Li 2.82
Bi: 0.0000 0.5000 0.6352 (multiplicity 2)  5 Li 2.82-2.88
As: 0.5000 0.5000 0.0000 (multiplicity 1)  4 Li 2.82


First-principles (GGA-PBE) data for a geometry-optimized Ba6Bi2AsN structure, as listed in Alexandria via LeMat-Bulk.

Summary:
total magnetization	0.00	μB per atom
calculated density	5.4	g cm⁻³

a = 8.1454 Å, b = 8.5185 Å, c = 14.2706 Å
α = 90.00°, β = 124.60°, γ = 90.00°
With the nearest neighbours (Å) after each atom.
Space group P2_1/c (No. 14)
Inequivalent atoms, fractional coordinates:
Ba: 0.1359 0.2151 0.4535 (multiplicity 4)  1 N 2.90, 1 As 3.22
Ba: 0.2417 0.6848 0.4565 (multiplicity 4)  1 N 2.85
Ba: 0.3180 0.0290 0.2334 (multiplicity 4)  1 N 2.84
Bi: 0.2319 0.0590 0.7497 (multiplicity 4)  6 Ba 3.57-3.93
As: 0.5000 0.0000 0.5000 (multiplicity 2)  6 Ba 3.21-3.25
N: 0.0000 0.0000 0.0000 (multiplicity 2)  6 Ba 2.84-2.90


First-principles (GGA-PBE) data for a geometry-optimized Ba6BiAs2N structure, as listed in Alexandria via LeMat-Bulk.

Summary:
total magnetization	0.00	μB per atom
calculated density	5.0	g cm⁻³

a = 7.9841 Å, b = 8.4221 Å, c = 13.7368 Å
α = 90.00°, β = 120.93°, γ = 90.00°
With the nearest neighbours (Å) after each atom.
Space group P2_1/c (No. 14)
Inequivalent atoms, fractional coordinates:
Ba: 0.0840 0.2041 0.4323 (multiplicity 4)  1 N 2.86
Ba: 0.1915 0.6635 0.4154 (multiplicity 4)  1 N 2.72
Ba: 0.3723 0.0648 0.2224 (multiplicity 4)  1 N 3.02, 2 As 3.28-3.38
Bi: 0.5000 0.0000 0.5000 (multiplicity 2)  6 Ba 3.42-3.54
As: 0.2024 0.0856 0.7337 (multiplicity 4)  5 Ba 3.28-3.45
N: 0.0000 0.0000 0.0000 (multiplicity 2)  6 Ba 2.72-3.02


First-principles (GGA-PBE) data for a geometry-optimized BaNaBiAs2 structure, as listed in Alexandria via LeMat-Bulk.

Summary:
total magnetization	0.00	μB per atom
calculated density	5.0	g cm⁻³

a = 15.4062 Å, b = 4.6977 Å, c = 11.2923 Å
α = 90.00°, β = 123.23°, γ = 90.00°
With the nearest neighbours (Å) after each atom.
Space group C2/m (No. 12)
Inequivalent atoms, fractional coordinates:
Ba: 0.1988 0.0000 0.1327 (multiplicity 4)  5 As 3.32-3.41
Na: 0.1409 0.5000 0.4302 (multiplicity 4)  4 As 2.97-3.28
Bi: 0.0471 0.0000 0.6954 (multiplicity 4)  3 As 2.75-2.92
As: 0.0860 0.5000 0.8719 (multiplicity 4)  2 Bi 2.92
As: 0.1888 0.0000 0.6194 (multiplicity 4)  1 Bi 2.75, 3 Na 2.97-2.98


First-principles (GGA-PBE) data for a geometry-optimized BaNaBiAs2 structure, as listed in Alexandria via LeMat-Bulk.

Summary:
total magnetization	0.00	μB per atom
calculated density	4.2	g cm⁻³

a = 5.6717 Å, b = 5.6717 Å, c = 6.3457 Å
α = 90.00°, β = 90.00°, γ = 90.00°
With the nearest neighbours (Å) after each atom.
Space group P4/mmm (No. 123)
Inequivalent atoms, fractional coordinates:
Ba: 0.0000 0.0000 0.0000 (multiplicity 1)  2 Bi 3.17
Na: 0.5000 0.5000 0.0000 (multiplicity 1)  4 Ba 4.01, 8 As 4.26
Bi: 0.0000 0.0000 0.5000 (multiplicity 1)  4 As 2.84, 2 Ba 3.17
As: 0.0000 0.5000 0.5000 (multiplicity 2)  2 Bi 2.84


First-principles (GGA-PBE) data for a geometry-optimized BaNiBiAs structure, as listed in Alexandria via LeMat-Bulk.

Summary:
total magnetization	0.00	μB per atom
calculated density	7.2	g cm⁻³

a = 4.3953 Å, b = 4.3953 Å, c = 11.4695 Å
α = 90.00°, β = 90.00°, γ = 90.00°
With the nearest neighbours (Å) after each atom.
Space group P4/nmm (No. 129, origin choice 2)
Inequivalent atoms, fractional coordinates:
Ba: 0.2500 0.2500 0.2306 (multiplicity 2)  4 Ni 3.44, 5 As 3.49-3.69, 4 Bi 3.79
Ni: 0.2500 0.7500 0.0000 (multiplicity 2)  4 As 2.43
Bi: 0.2500 0.7500 0.5000 (multiplicity 2)  4 Bi 3.11
As: 0.2500 0.2500 0.9087 (multiplicity 2)  4 Ni 2.43


First-principles (GGA-PBE) data for a geometry-optimized BaBiAsO6 structure, as listed in Alexandria via LeMat-Bulk.

Summary:
total magnetization	0.00	μB per atom
calculated density	5.9	g cm⁻³

a = 5.3694 Å, b = 5.3694 Å, c = 5.8376 Å
α = 90.00°, β = 90.00°, γ = 120.00°
With the nearest neighbours (Å) after each atom.
Space group P312 (No. 149)
Inequivalent atoms, fractional coordinates:
Ba: 0.0000 0.0000 0.0000 (multiplicity 1)  6 O 2.74
Bi: 0.3333 0.6667 0.5000 (multiplicity 1)  6 O 2.15
As: 0.6667 0.3333 0.5000 (multiplicity 1)  6 O 1.89
O: 0.4019 0.0363 0.6927 (multiplicity 6)  1 As 1.89


First-principles (GGA-PBE) data for a geometry-optimized Ba6Bi2AsO structure, as listed in Alexandria via LeMat-Bulk.

Summary:
total magnetization	0.00	μB per atom
calculated density	5.3	g cm⁻³

a = 6.0056 Å, b = 6.0056 Å, c = 11.5469 Å
α = 90.00°, β = 90.00°, γ = 90.00°
With the nearest neighbours (Å) after each atom.
Space group P4/mmm (No. 123)
Inequivalent atoms, fractional coordinates:
Ba: 0.0000 0.0000 0.2263 (multiplicity 2)  1 O 2.61
Ba: 0.0000 0.5000 0.0000 (multiplicity 2)  2 O 3.00
Ba: 0.0000 0.5000 0.5000 (multiplicity 2)  2 As 3.00
Bi: 0.5000 0.5000 0.2297 (multiplicity 2)  12 Ba 4.01-4.33
As: 0.0000 0.0000 0.5000 (multiplicity 1)  6 Ba 3.00-3.16
O: 0.0000 0.0000 0.0000 (multiplicity 1)  2 Ba 2.61


First-principles (GGA-PBE) data for a geometry-optimized Ba6Bi2AsP structure, as listed in Alexandria via LeMat-Bulk.

Summary:
total magnetization	0.00	μB per atom
calculated density	4.9	g cm⁻³

a = 8.3689 Å, b = 8.9895 Å, c = 14.6836 Å
α = 90.00°, β = 124.71°, γ = 90.00°
With the nearest neighbours (Å) after each atom.
Space group P2_1/c (No. 14)
Inequivalent atoms, fractional coordinates:
Ba: 0.1286 0.0524 0.2473 (multiplicity 4)  1 P 3.18, 1 As 3.24, 1 Bi 3.56
Ba: 0.2472 0.6955 0.0609 (multiplicity 4)  1 P 3.24, 1 As 3.24, 1 Bi 3.60
Ba: 0.3678 0.1901 0.0595 (multiplicity 4)  1 P 3.18, 1 As 3.29
Bi: 0.2763 0.0752 0.7503 (multiplicity 4)  6 Ba 3.56-3.92
As: 0.5000 0.0000 0.5000 (multiplicity 2)  6 Ba 3.24-3.29
P: 0.0000 0.0000 0.0000 (multiplicity 2)  6 Ba 3.18-3.24


First-principles (GGA-PBE) data for a geometry-optimized Ba6BiAs2P structure, as listed in Alexandria via LeMat-Bulk.

Summary:
total magnetization	0.00	μB per atom
calculated density	4.5	g cm⁻³

a = 8.3957 Å, b = 8.8790 Å, c = 14.3773 Å
α = 90.00°, β = 123.40°, γ = 90.00°
With the nearest neighbours (Å) after each atom.
Space group P2_1/c (No. 14)
Inequivalent atoms, fractional coordinates:
Ba: 0.0804 0.1078 0.2345 (multiplicity 4)  1 P 3.20, 2 As 3.33-3.38
Ba: 0.2957 0.7073 0.1146 (multiplicity 4)  1 P 3.34, 2 As 3.36-3.56, 1 Bi 3.49
Ba: 0.3641 0.1585 0.0396 (multiplicity 4)  1 P 3.12, 1 As 3.24, 1 Bi 3.40
Bi: 0.5000 0.0000 0.5000 (multiplicity 2)  6 Ba 3.40-3.62
As: 0.2940 0.0595 0.7802 (multiplicity 4)  6 Ba 3.24-3.56
P: 0.0000 0.0000 0.0000 (multiplicity 2)  6 Ba 3.12-3.34


First-principles (GGA-PBE) data for a geometry-optimized BaBiAsPb2 structure, as listed in Alexandria via LeMat-Bulk.

Summary:
total magnetization	0.00	μB per atom
calculated density	7.2	g cm⁻³

a = 4.8127 Å, b = 16.3421 Å, c = 9.7776 Å
α = 90.00°, β = 90.00°, γ = 90.00°
With the nearest neighbours (Å) after each atom.
Space group Cmcm (No. 63)
Inequivalent atoms, fractional coordinates:
Ba: 0.0000 0.0069 0.2500 (multiplicity 4)  4 As 3.43, 1 Bi 3.84
Bi: 0.0000 0.2282 0.7500 (multiplicity 4)  6 Pb 3.26-3.36
As: 0.0000 0.5000 0.0000 (multiplicity 4)  2 Pb 2.81
Pb: 0.0000 0.3306 0.0475 (multiplicity 8)  1 As 2.81


First-principles (GGA-PBE) data for a geometry-optimized Ba2BiAsPb structure, as listed in Alexandria via LeMat-Bulk.

Summary:
total magnetization	0.00	μB per atom
calculated density	6.0	g cm⁻³

a = 9.4651 Å, b = 4.7329 Å, c = 9.7321 Å
α = 90.00°, β = 101.61°, γ = 90.00°
With the nearest neighbours (Å) after each atom.
Space group P2_1/m (No. 11)
Inequivalent atoms, fractional coordinates:
Ba: 0.1506 0.2500 0.3943 (multiplicity 2)  3 As 3.21-3.38, 1 Pb 3.51
Ba: 0.2961 0.2500 0.8857 (multiplicity 2)  2 As 3.32, 3 Bi 3.61-3.65
Bi: 0.3408 0.7500 0.1768 (multiplicity 2)  2 Pb 3.25, 1 Ba 3.61
As: 0.1946 0.7500 0.6476 (multiplicity 2)  1 Pb 2.78
Pb: 0.4847 0.7500 0.6318 (multiplicity 2)  1 As 2.78


First-principles (GGA-PBE) data for a geometry-optimized BaBiAsPd3 structure, as listed in Alexandria via LeMat-Bulk.

Summary:
total magnetization	0.00	μB per atom
calculated density	7.6	g cm⁻³

a = 7.1898 Å, b = 13.7668 Å, c = 6.5424 Å
α = 90.00°, β = 90.00°, γ = 90.00°
With the nearest neighbours (Å) after each atom.
Space group Cmcm (No. 63)
Inequivalent atoms, fractional coordinates:
Ba: 0.0000 0.2292 0.2500 (multiplicity 4)  4 Pd 3.30-3.60
Bi: 0.0000 0.4497 0.7500 (multiplicity 4)  5 Pd 2.64-2.82
As: 0.0000 0.0859 0.7500 (multiplicity 4)  5 Pd 2.37-2.46
Pd: 0.0000 0.2579 0.7500 (multiplicity 4)  1 As 2.37, 1 Bi 2.64
Pd: 0.1958 0.0000 0.0000 (multiplicity 8)  2 As 2.46


First-principles (GGA-PBE) data for a geometry-optimized BaBiAs2Pd4 structure, as listed in Alexandria via LeMat-Bulk.

Summary:
total magnetization	0.00	μB per atom
calculated density	8.4	g cm⁻³

a = 4.3325 Å, b = 4.3325 Å, c = 9.7579 Å
α = 90.00°, β = 90.00°, γ = 90.00°
With the nearest neighbours (Å) after each atom.
Space group P4/mmm (No. 123)
Inequivalent atoms, fractional coordinates:
Ba: 0.0000 0.0000 0.0000 (multiplicity 1)  8 As 3.56, 8 Pd 3.72
Bi: 0.0000 0.0000 0.5000 (multiplicity 1)  8 Pd 2.85
As: 0.5000 0.5000 0.1855 (multiplicity 2)  4 Pd 2.49
Pd: 0.0000 0.5000 0.3103 (multiplicity 4)  2 As 2.49


First-principles (GGA-PBE) data for a geometry-optimized Ba3BiAs2Pd9 structure, as listed in Alexandria via LeMat-Bulk.

Summary:
total magnetization	0.00	μB per atom
calculated density	7.8	g cm⁻³

a = 6.7172 Å, b = 6.7172 Å, c = 9.3659 Å
α = 90.00°, β = 90.00°, γ = 120.00°
With the nearest neighbours (Å) after each atom.
Space group P-3m1 (No. 164)
Inequivalent atoms, fractional coordinates:
Ba: 0.0000 0.0000 0.0000 (multiplicity 1)  12 Pd 3.10-3.36
Ba: 0.3333 0.6667 0.6601 (multiplicity 2)  9 Pd 3.42-3.73
Bi: 0.0000 0.0000 0.5000 (multiplicity 1)  6 Pd 2.70
As: 0.3333 0.6667 0.1674 (multiplicity 2)  6 Pd 2.40-2.49
Pd: 0.0000 0.5000 0.0000 (multiplicity 3)  2 As 2.49
Pd: 0.1466 0.2932 0.2768 (multiplicity 6)  1 As 2.40


First-principles (GGA-PBE) data for a geometry-optimized Ba3Bi2As2Pd4 structure, as listed in Alexandria via LeMat-Bulk.

Summary:
total magnetization	0.00	μB per atom
calculated density	7.5	g cm⁻³

a = 4.4987 Å, b = 4.4987 Å, c = 17.8110 Å
α = 90.00°, β = 90.00°, γ = 120.00°
With the nearest neighbours (Å) after each atom.
Space group P-3m1 (No. 164)
Inequivalent atoms, fractional coordinates:
Ba: 0.0000 0.0000 0.0000 (multiplicity 1)  6 Pd 3.49, 6 As 3.51
Ba: 0.0000 0.0000 0.2522 (multiplicity 2)  3 As 3.36, 3 Pd 3.38, 3 Bi 3.70
Bi: 0.3333 0.6667 0.5998 (multiplicity 2)  4 Pd 2.70-2.73
As: 0.3333 0.6667 0.1328 (multiplicity 2)  3 Pd 2.60
Pd: 0.3333 0.6667 0.4480 (multiplicity 2)  4 Bi 2.70-2.73
Pd: 0.3333 0.6667 0.8691 (multiplicity 2)  3 As 2.60


| no. | VASP energy (Ry/atom) |
| --- | --- |
| 1 | -0.266 |
| 2 | -0.275 |
| 3 | -0.271 |
| 4 | -0.278 |
| 5 | -0.274 |
| 6 | -0.254 |
| 7 | -0.299 |
| 8 | -0.302 |
| 9 | -0.279 |
| 10 | -0.223 |
| 11 | -0.341 |
| 12 | -0.441 |
| 13 | -0.292 |
| 14 | -0.289 |
| 15 | -0.291 |
| 16 | -0.292 |
| 17 | -0.293 |
| 18 | -0.356 |
| 19 | -0.368 |
| 20 | -0.358 |
| 21 | -0.343 |